Entry 1:
DFT (PBE) results for crystalline KYBrCl2 at its relaxed geometry.

Values from the calculation:
The value obtained for the size of the total moment is 0.047 μB per atom. Its uncorrected formation energy is -1.74 eV per atom.

Geometry as POSCAR:
```
KYBrCl2
1.0
-1.045 -2.494 -4.614
5.047 -1.760 -0.192
-1.520 -4.672 2.870
Y K Br Cl
1 1 1 2
Direct
0.000 0.000 0.000
0.500 0.500 0.500
0.000 0.000 0.500
0.000 0.500 0.000
0.500 0.000 0.000
```

Entry 2:
DFT (PBE) results for crystalline Ac4SbTe2Ir at its relaxed geometry.

Values from the calculation:
The value obtained for the size of the total moment is 0.000 μB per atom. Its uncorrected formation energy is -1.21 eV per atom.

Geometry as POSCAR:
```
Ac4SbTe2Ir
1.0
-2.273 -3.193 2.361
4.670 -5.786 -3.329
3.686 2.527 6.967
Ac Sb Te Ir
4 1 2 1
Direct
0.500 0.269 0.221
0.500 0.731 0.779
0.000 0.278 0.783
0.000 0.722 0.217
0.000 0.000 0.000
0.500 0.000 0.500
0.000 0.500 0.500
0.500 0.500 0.000
```

> Among the records above, which one has the highest size of the total moment?

KYBrCl2